[1]
CsSrGe2Sb | PBE | relaxed

Values from the calculation:
- M_tot: 0.00 μB/cell
- DOS at the Fermi energy: 0.604 states/eV per atom
- Formation energy without anion corrections: 2.179 eV/f.u.
- Crystal system: tetragonal

Lattice parameters (Å, degrees): 5.5973 6.3861 5.5973 90.00 90.00 90.00
Last column: nearest neighbours and their distance in Å.
Sites, in units of the cell vectors:
Ge  0.5000  0.0000  0.0000  2 Sb 2.80
Ge  0.0000  0.0000  0.5000  2 Sb 2.80
Sr  0.5000  0.5000  0.5000  4 Cs 3.96, 8 Ge 4.25
Cs  0.0000  0.5000  0.0000  2 Sb 3.19
Sb  0.0000  0.0000  0.0000  4 Ge 2.80

[2]
Be2HgP | PBE | relaxed

Values from the calculation:
- M_tot: 0.00 μB/cell
- DOS at the Fermi energy: 0.310 states/eV per atom
- Energy of formation: 0.61 eV/atom
- Crystal system: tetragonal

Lattice parameters (Å, degrees): 5.8658 5.8658 5.8658 146.58 146.58 47.98
Last column: nearest neighbours and their distance in Å.
Sites, in units of the cell vectors:
P  0.7500  0.2500  0.5000  4 Be 2.38
Hg  0.5000  0.5000  0.0000  4 Be 2.38
Be  0.2500  0.7500  0.5000  4 P 2.38
Be  0.0000  0.0000  0.0000  4 Hg 2.38

[3]
GdErTh2 | PBE | relaxed

Values from the calculation:
- M_tot: 7.08 μB/cell
- DOS at the Fermi energy: 1.511 states/eV per atom
- Energy of formation: 0.14 eV/atom
- Crystal system: tetragonal

Lattice parameters (Å, degrees): 4.1631 4.1631 7.3469 90.00 90.00 90.00
Last column: nearest neighbours and their distance in Å.
Sites, in units of the cell vectors:
Er  0.5000  0.5000  0.0000  8 Th 3.46, 2 Gd 3.67
Gd  0.5000  0.5000  0.5000  8 Th 3.48, 2 Er 3.67
Th  0.0000  0.0000  0.2469  4 Er 3.46, 4 Gd 3.48, 2 Th 3.63-3.72
Th  0.0000  0.0000  0.7531  4 Er 3.46, 4 Gd 3.48, 2 Th 3.63-3.72

[4]
SmTi4Se8 | PBE | relaxed

Values from the calculation:
- M_tot: 1.33 μB/cell
- DOS at the Fermi energy: 0.670 states/eV per atom
- Formation energy without anion corrections: -16.626 eV/f.u.
- Crystal system: trigonal

Lattice parameters (Å, degrees): 7.2573 7.2573 8.0311 63.14 63.14 60.00
Last column: nearest neighbours and their distance in Å.
Sites, in units of the cell vectors:
Se  0.7513  0.2372  0.7743  3 Ti 2.56-2.63, 1 Sm 2.86
Se  0.7628  0.2487  0.2257  3 Ti 2.56-2.63, 1 Sm 2.86
Se  0.2372  0.2372  0.7743  3 Ti 2.56-2.63, 1 Sm 2.86
Se  0.7628  0.7628  0.2257  3 Ti 2.56-2.63, 1 Sm 2.86
Ti  0.5000  0.0000  0.0000  6 Se 2.57-2.63
Ti  0.0000  0.0000  0.0000  6 Se 2.56
Se  0.2372  0.7513  0.7743  3 Ti 2.56-2.63, 1 Sm 2.86
Se  0.2605  0.2605  0.2185  3 Ti 2.57
Se  0.2487  0.7628  0.2257  3 Ti 2.56-2.63, 1 Sm 2.86
Se  0.7395  0.7395  0.7815  3 Ti 2.57
Sm  0.5000  0.5000  0.5000  6 Se 2.86
Ti  0.0000  0.5000  0.0000  6 Se 2.57-2.63
Ti  0.5000  0.5000  0.0000  6 Se 2.57-2.63

[5]
Bi3PS3 | PBE | relaxed

Values from the calculation:
- M_tot: 0.00 μB/cell
- Formation energy without anion corrections: -1.360 eV/f.u.
- Crystal system: monoclinic

Lattice parameters (Å, degrees): 4.0842 8.3355 11.5939 94.54 90.00 90.00
Last column: nearest neighbours and their distance in Å.
Sites, in units of the cell vectors:
S  0.2500  0.3947  0.8757  3 Bi 2.63-2.80
Bi  0.7500  0.6278  0.3519  1 S 2.63, 2 P 2.80
S  0.7500  0.6500  0.6181  3 Bi 2.76-3.08
S  0.2500  0.9232  0.8663  3 Bi 2.64-2.87
Bi  0.7500  0.1265  0.3618  3 S 2.64-2.76
S  0.2500  0.3500  0.3819  3 Bi 2.76-3.08
Bi  0.2500  0.3722  0.6481  1 S 2.63, 2 P 2.80
Bi  0.2500  0.8333  0.1164  5 S 2.80-3.05, 1 P 2.87
P  0.2500  0.8584  0.3644  5 Bi 2.80-3.03
S  0.7500  0.0768  0.1337  3 Bi 2.64-2.87
S  0.7500  0.6053  0.1243  3 Bi 2.63-2.80
Bi  0.2500  0.8735  0.6382  3 S 2.64-2.76
P  0.7500  0.1416  0.6356  5 Bi 2.80-3.03
Bi  0.7500  0.1667  0.8836  5 S 2.80-3.05, 1 P 2.87

[6]
Tl8AsSe6 | PBE | relaxed

Values from the calculation:
- M_tot: 0.00 μB/cell
- DOS at the Fermi energy: 0.329 states/eV per atom
- Formation energy without anion corrections: -4.075 eV/f.u.
- Crystal system: orthorhombic

Lattice parameters (Å, degrees): 10.6096 9.6592 9.5152 90.00 90.00 90.00
Last column: nearest neighbours and their distance in Å.
Sites, in units of the cell vectors:
Se  0.0069  0.5000  0.3681  3 Tl 2.96-3.14
As  0.2945  0.5000  0.9157  3 Se 2.44
Tl  0.5326  0.2479  0.1663  3 Se 3.13-3.23
Tl  0.5326  0.7521  0.1663  3 Se 3.13-3.23
Tl  0.7666  0.5000  0.0975  2 Se 3.01-3.28
As  0.7055  0.0000  0.4157  3 Se 2.44
Tl  0.7500  0.1834  0.8930  4 Se 3.07-3.42
Tl  0.4674  0.2521  0.6663  3 Se 3.13-3.23
Tl  0.2475  0.0000  0.9953  5 Se 2.94-3.16
Se  0.2549  0.6957  0.0709  1 As 2.44
Se  0.2549  0.3043  0.0709  1 As 2.44
Se  0.1326  0.0000  0.3013  4 Tl 3.00-3.16
Tl  0.0246  0.7210  0.6662  3 Se 3.00-3.33
Se  0.7451  0.1957  0.5709  1 As 2.44
Se  0.7451  0.8043  0.5709  1 As 2.44
Tl  0.4674  0.7479  0.6663  3 Se 3.13-3.23
Tl  0.0246  0.2790  0.6662  3 Se 3.00-3.33
Se  0.5047  0.0000  0.8799  5 Tl 2.94-3.20
Se  0.8674  0.5000  0.8013  4 Tl 3.00-3.16
Se  0.4770  0.0000  0.3855  1 As 2.44
Tl  0.2500  0.6834  0.3930  4 Se 3.07-3.42
Tl  0.2500  0.3166  0.3930  4 Se 3.07-3.42
Se  0.5230  0.5000  0.8855  1 As 2.44
Tl  0.7525  0.5000  0.4953  5 Se 2.94-3.16
Tl  0.9754  0.7790  0.1662  3 Se 3.00-3.33
Tl  0.2334  0.0000  0.5975  2 Se 3.01-3.28
Tl  0.7500  0.8166  0.8930  4 Se 3.07-3.42
Se  0.9931  0.0000  0.8681  3 Tl 2.96-3.14
Tl  0.9754  0.2210  0.1662  3 Se 3.00-3.33
Se  0.4953  0.5000  0.3799  5 Tl 2.94-3.20

[7]
BaBe2Tl | PBE | relaxed

Values from the calculation:
- M_tot: 0.00 μB/cell
- DOS at the Fermi energy: 0.707 states/eV per atom
- Energy of formation: 0.25 eV/atom
- Crystal system: monoclinic

Lattice parameters (Å, degrees): 4.1880 4.1880 6.7345 71.66 71.66 59.94
Last column: nearest neighbours and their distance in Å.
Sites, in units of the cell vectors:
Be  0.0603  0.0603  0.8187  3 Be 2.42, 3 Tl 2.65
Be  0.7287  0.7287  0.8121  3 Be 2.42, 3 Tl 2.63
Ba  0.2598  0.2598  0.2230  7 Be 3.50-3.74, 4 Tl 3.59-3.62
Tl  0.4512  0.4512  0.6463  6 Be 2.63-2.65

Density / g/cm³: 4.05 6.80 10.28 5.17 6.37 7.44 6.27